Record 1
Here is an optimized crystal structure of In3Ir from the Alexandria database. Energies are from GGA-PBE.

a b c (Å): 4.2868 6.1275 6.6359
angles (deg): 90.00 90.00 90.00
With the nearest neighbours (Å) after each atom.
Space group Pmmn (No. 59, origin choice 2)
Asymmetric unit:
In 0.2500 0.0153 0.1551 [4 per cell]  3 Ir 2.74-2.97, 3 In 2.88-2.98
In 0.2500 0.7500 0.5549 [2 per cell]  4 Ir 3.01-3.36, 6 In 3.11-3.22
Ir 0.2500 0.2500 0.7643 [2 per cell]  8 In 2.74-3.01

Results
- crystal system = orthorhombic
- energy relative to the elements (eV per atom) = 0.02

---

Record 2
Here is an optimized crystal structure of Te2IrAu from the Alexandria database. Energies are from GGA-PBE.

a b c (Å): 6.9861 6.9861 6.9861
angles (deg): 90.00 90.00 90.00
With the nearest neighbours (Å) after each atom.
Space group F-43m (No. 216)
Asymmetric unit:
Te 0.0000 0.0000 0.0000 [4 per cell]  4 Ir 3.03, 4 Te 3.03
Te 0.2500 0.2500 0.2500 [4 per cell]  4 Te 3.03, 4 Au 3.03
Ir 0.2500 0.2500 0.7500 [4 per cell]  4 Te 3.03, 4 Au 3.03
Au 0.0000 0.0000 0.5000 [4 per cell]  4 Te 3.03, 4 Ir 3.03

Results
- raw formation energy (eV/atom) = 0.73
- crystal system = cubic

---

Record 3
Here is an optimized crystal structure of MnV2Bi from the Alexandria database. Energies are from GGA-PBE.

a b c (Å): 3.8263 3.8263 19.5333
angles (deg): 90.00 90.00 90.00
With the nearest neighbours (Å) after each atom.
Space group I-42d (No. 122)
Asymmetric unit:
Mn 0.0000 0.0000 0.0000 [4 per cell]  4 Bi 2.71, 4 V 2.78
V 0.2379 0.2500 0.1250 [8 per cell]  4 V 2.64-2.77, 2 Mn 2.78, 2 Bi 2.81
Bi 0.0000 0.0000 0.5000 [4 per cell]  4 Mn 2.71, 4 V 2.81

Results
- crystal system = tetragonal
- energy relative to the elements (eV per atom) = 0.76

---

Record 4
Here is an optimized crystal structure of LiEr8In2 from the Alexandria database. Energies are from GGA-PBE.

a b c (Å): 17.6918 5.2128 6.8459
angles (deg): 90.00 102.29 90.00
With the nearest neighbours (Å) after each atom.
Space group C2/m (No. 12)
Asymmetric unit:
Li 0.0000 0.0000 0.0000 [2 per cell]  6 Er 2.85-3.14
Er 0.0220 0.5000 0.7623 [4 per cell]  2 Li 3.14, 1 In 3.18, 4 Er 3.46-3.51
Er 0.0943 0.0000 0.4552 [4 per cell]  1 Li 3.21, 6 Er 3.32-3.52, 2 In 3.47
Er 0.1555 0.0000 0.9480 [4 per cell]  1 Li 2.85, 1 In 3.06
Er 0.1890 0.5000 0.2650 [4 per cell]  3 In 3.09-3.28, 3 Er 3.36-3.38
In 0.1975 0.5000 0.7212 [4 per cell]  7 Er 3.06-3.28

Results
- crystal system = monoclinic
- energy relative to the elements (eV per atom) = -0.12

---

Record 5
Here is an optimized crystal structure of Pm2NdHoS4 from the Alexandria database. Energies are from GGA-PBE.

a b c (Å): 6.9502 3.9641 6.9824
angles (deg): 90.00 108.95 90.00
With the nearest neighbours (Å) after each atom.
Space group P2/m (No. 10)
Asymmetric unit:
Pm 0.0000 0.0000 0.0000 [1 per cell]  6 S 2.82
Pm 0.0000 0.5000 0.5000 [1 per cell]  6 S 2.89
Nd 0.5000 0.0000 0.5000 [1 per cell]  6 S 2.85
Ho 0.5000 0.5000 0.0000 [1 per cell]  6 S 2.77-2.78
S 0.2529 0.5000 0.2427 [2 per cell]  1 Ho 2.78, 3 Pm 2.82-2.89, 2 Nd 2.85
S 0.2592 0.0000 0.7613 [2 per cell]  2 Ho 2.77, 3 Pm 2.82-2.89, 1 Nd 2.85

Results
- raw formation energy (eV/atom) = -2.01
- crystal system = monoclinic

---

Record 6
Here is an optimized crystal structure of YBeFe2 from the Alexandria database. Energies are from GGA-PBE.

a b c (Å): 3.1597 3.7653 5.3841
angles (deg): 90.00 104.31 90.00
With the nearest neighbours (Å) after each atom.
Space group P2/m (No. 10)
Asymmetric unit:
Y 0.0000 0.0000 0.0000 [1 per cell]  2 Be 2.76, 4 Fe 2.95
Be 0.5000 0.0000 0.5000 [1 per cell]  4 Fe 2.22
Fe 0.3116 0.5000 0.6635 [2 per cell]  2 Be 2.22, 2 Fe 2.29-2.36

Results
- crystal system = monoclinic
- energy relative to the elements (eV per atom) = 0.26

---

Record 7
Here is an optimized crystal structure of AcNdAsBr from the Alexandria database. Energies are from GGA-PBE.

a b c (Å): 7.5863 7.5863 7.5863
angles (deg): 90.00 90.00 90.00
With the nearest neighbours (Å) after each atom.
Space group F-43m (No. 216)
Asymmetric unit:
Ac 0.0000 0.0000 0.0000 [4 per cell]  4 Br 3.28, 4 As 3.28
Nd 0.0000 0.0000 0.5000 [4 per cell]  4 As 3.28, 4 Br 3.28
As 0.2500 0.2500 0.7500 [4 per cell]  4 Ac 3.28, 4 Nd 3.28
Br 0.2500 0.2500 0.2500 [4 per cell]  4 Ac 3.28, 4 Nd 3.28

Results
- raw formation energy (eV/atom) = -1.21
- crystal system = cubic

---

Record 8
Here is an optimized crystal structure of Ba3Ta from the Alexandria database. Energies are from GGA-PBE.

a b c (Å): 3.8029 3.8029 38.8140
angles (deg): 90.00 90.00 120.00
With the nearest neighbours (Å) after each atom.
Space group R-3m (No. 166, hexagonal axes)
Asymmetric unit:
Ba 0.0000 0.0000 0.0000 [3 per cell]  6 Ba 3.80
Ba 0.0000 0.0000 0.2345 [6 per cell]  3 Ta 3.43, 6 Ba 3.80
Ta 0.0000 0.0000 0.5000 [3 per cell]  6 Ba 3.43, 6 Ta 3.80

Results
- crystal system = trigonal
- energy relative to the elements (eV per atom) = 0.94

---

Record 9
Here is an optimized crystal structure of Si2RuPt from the Alexandria database. Energies are from GGA-PBE.

a b c (Å): 2.8059 3.5526 11.9165
angles (deg): 90.00 90.00 90.00
With the nearest neighbours (Å) after each atom.
Space group Imm2 (No. 44)
Asymmetric unit:
Si 0.0000 0.0000 0.0000 [2 per cell]  4 Ru 2.43, 2 Pt 2.59
Si 0.0000 0.5000 0.2415 [2 per cell]  2 Ru 2.44, 4 Pt 2.56
Ru 0.0000 0.0000 0.5737 [2 per cell]  6 Si 2.43-2.44
Pt 0.0000 0.5000 0.8423 [2 per cell]  6 Si 2.56-2.59, 2 Pt 2.81

Results
- raw formation energy (eV/atom) = -0.49
- crystal system = orthorhombic

---

Record 10
Here is an optimized crystal structure of Rb2SbTeF from the Alexandria database. Energies are from GGA-PBE.

a b c (Å): 7.0943 7.0943 5.5288
angles (deg): 90.00 90.00 90.00
With the nearest neighbours (Å) after each atom.
Space group P4/mmm (No. 123)
Asymmetric unit:
Rb 0.0000 0.5000 0.0000 [2 per cell]  2 Sb 3.55
Sb 0.0000 0.0000 0.0000 [1 per cell]  2 Te 2.76
Te 0.0000 0.0000 0.5000 [1 per cell]  2 Sb 2.76
F 0.5000 0.5000 0.5000 [1 per cell]  8 Rb 4.50, 4 Te 5.02

Results
- raw formation energy (eV/atom) = -0.70
- crystal system = tetragonal

---

Record 11
Here is an optimized crystal structure of La3ZrCl from the Alexandria database. Energies are from GGA-PBE.

a b c (Å): 5.4667 5.4667 5.4667
angles (deg): 90.00 90.00 90.00
With the nearest neighbours (Å) after each atom.
Space group Pm-3m (No. 221)
Asymmetric unit:
La 0.0000 0.0000 0.5000 [3 per cell]  2 Cl 2.73
Zr 0.5000 0.5000 0.5000 [1 per cell]  12 La 3.87
Cl 0.0000 0.0000 0.0000 [1 per cell]  6 La 2.73

Results
- raw formation energy (eV/atom) = -0.32
- crystal system = cubic

---

Record 12
Here is an optimized crystal structure of HoAlCuAu from the Alexandria database. Energies are from GGA-PBE.

a b c (Å): 6.6422 6.6422 6.6422
angles (deg): 90.00 90.00 90.00
With the nearest neighbours (Å) after each atom.
Space group F-43m (No. 216)
Asymmetric unit:
Ho 0.0000 0.0000 0.0000 [4 per cell]  4 Cu 2.88, 4 Au 2.88
Al 0.0000 0.0000 0.5000 [4 per cell]  4 Cu 2.88, 4 Au 2.88
Cu 0.2500 0.2500 0.7500 [4 per cell]  4 Ho 2.88, 4 Al 2.88
Au 0.2500 0.2500 0.2500 [4 per cell]  4 Ho 2.88, 4 Al 2.88

Results
- crystal system = cubic
- energy relative to the elements (eV per atom) = -0.54

---

Quick rundown of DFT total energy, same order as above: -33.98 -62.01 -112.97 -90.32 -51.44 -26.09 -80.13 -41.63 -56.23 -14.57 -26.76 -71.38 eV/cell